Entry 1:
First-principles (GGA-PBE) data for an optimized crystal structure of Na3GaSe2, as listed in Alexandria.

Computed properties:
total magnetic moment	0.000	μB per cell
VASP energy	-3.05	eV/atom
formation energy from raw total energies	-0.7266	eV per atom

```
data_Na3GaSe2
_chemical_formula_sum 'Na12 Ga4 Se8'
_space_group_name_H-M_alt 'I b a m'
_space_group_IT_number 72
_space_group_name_Hall '-I 2 2c'
_cell_length_a 7.145
_cell_length_b 14.122
_cell_length_c 6.761
_cell_angle_alpha 90.00
_cell_angle_beta 90.00
_cell_angle_gamma 90.00
loop_
_atom_site_label
_atom_site_type_symbol
_atom_site_fract_x
_atom_site_fract_y
_atom_site_fract_z
Na1 Na 0.000 0.000 0.250
Na2 Na 0.000 0.264 0.250
Ga1 Ga 0.000 0.500 0.000
Se1 Se 0.218 0.136 0.000
```

Entry 2:
First-principles (GGA-PBE) data for an optimized crystal structure of NdSc3Ga4, as listed in Alexandria.

Computed properties:
formation energy	-0.556	eV per atom
total magnetic moment	0.000	μB per cell
VASP energy	-5.04	eV/atom

```
data_NdSc3Ga4
_chemical_formula_sum 'Nd2 Sc6 Ga8'
_space_group_name_H-M_alt 'P m m a'
_space_group_IT_number 51
_space_group_name_Hall '-P 2a 2a'
_cell_length_a 9.807
_cell_length_b 6.721
_cell_length_c 4.995
_cell_angle_alpha 90.00
_cell_angle_beta 90.00
_cell_angle_gamma 90.00
loop_
_atom_site_label
_atom_site_type_symbol
_atom_site_fract_x
_atom_site_fract_y
_atom_site_fract_z
Nd1 Nd 0.000 0.000 0.000
Sc1 Sc 0.000 0.500 0.000
Sc2 Sc 0.250 0.000 0.456
Sc3 Sc 0.250 0.500 0.429
Ga1 Ga 0.000 0.273 0.500
Ga2 Ga 0.250 0.272 0.927
```

Entry 3:
First-principles (GGA-PBE) data for an optimized crystal structure of SrSn4Hg4, as listed in Alexandria.

Computed properties:
formation energy	-0.090	eV per atom
total magnetic moment	0.000	μB per cell
VASP energy	-2.19	eV/atom

```
data_SrSn4Hg4
_chemical_formula_sum 'Sr2 Sn8 Hg8'
_space_group_name_H-M_alt 'P 42/n m c'
_space_group_IT_number 137
_cell_length_a 6.627
_cell_length_b 6.627
_cell_length_c 12.325
_cell_angle_alpha 90.00
_cell_angle_beta 90.00
_cell_angle_gamma 90.00
loop_
_space_group_symop_operation_xyz
'x,y,z'
'-x,-y,-z'
'-y+1/2,x,z+1/2'
'y+1/2,-x,-z+1/2'
'-x+1/2,-y+1/2,z'
'x+1/2,y+1/2,-z'
'y,-x+1/2,z+1/2'
'-y,x+1/2,-z+1/2'
'x+1/2,-y,-z'
'-x+1/2,y,z'
'-y,-x,-z+1/2'
'y,x,z+1/2'
'-x,y+1/2,-z'
'x,-y+1/2,z'
'y+1/2,x+1/2,-z+1/2'
'-y+1/2,-x+1/2,z+1/2'
loop_
_atom_site_label
_atom_site_type_symbol
_atom_site_fract_x
_atom_site_fract_y
_atom_site_fract_z
Sr1 Sr 0.250 0.750 0.250
Sn1 Sn 0.022 0.250 0.183
Hg1 Hg 0.006 0.750 0.509
```

Entry 4:
First-principles (GGA-PBE) data for an optimized crystal structure of AcLa3Pb4, as listed in Alexandria.

Computed properties:
formation energy	-0.555	eV per atom
total magnetic moment	0.001	μB per cell
VASP energy	-4.77	eV/atom

```
data_AcLa3Pb4
_chemical_formula_sum 'Ac2 La6 Pb8'
_space_group_name_H-M_alt 'C 1 2/m 1'
_space_group_IT_number 12
_space_group_name_Hall '-C 2y'
_cell_length_a 7.464
_cell_length_b 7.471
_cell_length_c 10.055
_cell_angle_alpha 90.00
_cell_angle_beta 111.61
_cell_angle_gamma 90.00
loop_
_atom_site_label
_atom_site_type_symbol
_atom_site_fract_x
_atom_site_fract_y
_atom_site_fract_z
Ac1 Ac 0.000 0.000 0.000
La1 La 0.000 0.500 0.000
La2 La 0.248 0.500 0.497
Pb1 Pb 0.123 0.250 0.746
```

Entry 5:
First-principles (GGA-PBE) data for an optimized crystal structure of MnAgW2, as listed in Alexandria.

Computed properties:
formation energy	0.440	eV per atom
total magnetic moment	0.001	μB per cell
VASP energy	-9.04	eV/atom
polymorph energy (0 for the lowest one)	10.9	kJ per mole of atoms

```
data_MnAgW2
_chemical_formula_sum 'Mn1 Ag1 W2'
_space_group_name_H-M_alt 'P 4/m m m'
_space_group_IT_number 123
_space_group_name_Hall '-P 4 2'
_cell_length_a 2.738
_cell_length_b 2.738
_cell_length_c 8.104
_cell_angle_alpha 90.00
_cell_angle_beta 90.00
_cell_angle_gamma 90.00
loop_
_atom_site_label
_atom_site_type_symbol
_atom_site_fract_x
_atom_site_fract_y
_atom_site_fract_z
Mn1 Mn 0.000 0.000 0.000
Ag1 Ag 0.000 0.000 0.500
W1 W 0.500 0.500 0.214
```

Entry 6:
First-principles (GGA-PBE) data for an optimized crystal structure of PuSb, as listed in Alexandria.

Computed properties:
total magnetic moment	5.523	μB per cell
VASP energy	-9.77	eV/atom
formation energy from raw total energies	-0.5396	eV per atom

```
data_PuSb
_chemical_formula_sum 'Pu1 Sb1'
_space_group_name_H-M_alt 'P m -3 m'
_space_group_IT_number 221
_space_group_name_Hall '-P 4 2 3'
_cell_length_a 3.765
_cell_length_b 3.765
_cell_length_c 3.765
_cell_angle_alpha 90.00
_cell_angle_beta 90.00
_cell_angle_gamma 90.00
loop_
_atom_site_label
_atom_site_type_symbol
_atom_site_fract_x
_atom_site_fract_y
_atom_site_fract_z
Pu1 Pu 0.000 0.000 0.000
Sb1 Sb 0.500 0.500 0.500
```

Entry 7:
First-principles (GGA-PBE) data for an optimized crystal structure of As2CSeBr, as listed in Alexandria.

Computed properties:
total magnetic moment	0.000	μB per cell
VASP energy	-3.52	eV/atom
formation energy from raw total energies	1.2189	eV per atom
polymorph energy (0 for the lowest one)	3.5	kJ per mole of atoms

```
data_As2CSeBr
_chemical_formula_sum 'As2 C1 Se1 Br1'
_space_group_name_H-M_alt 'P 4/m m m'
_space_group_IT_number 123
_space_group_name_Hall '-P 4 2'
_cell_length_a 4.518
_cell_length_b 4.518
_cell_length_c 4.534
_cell_angle_alpha 90.00
_cell_angle_beta 90.00
_cell_angle_gamma 90.00
loop_
_atom_site_label
_atom_site_type_symbol
_atom_site_fract_x
_atom_site_fract_y
_atom_site_fract_z
As1 As 0.000 0.500 0.000
C1 C 0.000 0.000 0.000
Se1 Se 0.500 0.500 0.500
Br1 Br 0.000 0.000 0.500
```

Entry 8:
First-principles (GGA-PBE) data for an optimized crystal structure of Er3Ni8Sn, as listed in Alexandria.

Computed properties:
formation energy	-0.447	eV per atom
total magnetic moment	0.000	μB per cell
VASP energy	-5.78	eV/atom

```
data_Er3Ni8Sn
_chemical_formula_sum 'Er9 Ni24 Sn3'
_space_group_name_H-M_alt 'R 3 m'
_space_group_IT_number 160
_space_group_name_Hall 'R 3 -2"'
_cell_length_a 5.0110
_cell_length_b 5.0110
_cell_length_c 24.5543
_cell_angle_alpha 90.00
_cell_angle_beta 90.00
_cell_angle_gamma 120.00
loop_
_atom_site_label
_atom_site_type_symbol
_atom_site_fract_x
_atom_site_fract_y
_atom_site_fract_z
Er1 Er 0.0000 0.0000 0.0000
Er2 Er 0.0000 0.0000 0.1273
Er3 Er 0.0000 0.0000 0.6197
Ni1 Ni 0.0000 0.0000 0.3124
Ni2 Ni 0.0000 0.0000 0.8122
Ni3 Ni 0.0010 0.5005 0.5620
Ni4 Ni 0.1669 0.3339 0.3950
Sn1 Sn 0.0000 0.0000 0.4955
```

Entry 9:
First-principles (GGA-PBE) data for an optimized crystal structure of WSe2BrN, as listed in Alexandria.

Computed properties:
total magnetic moment	2.811	μB per cell
VASP energy	-3.93	eV/atom
formation energy from raw total energies	2.0519	eV per atom
polymorph energy (0 for the lowest one)	166.4	kJ per mole of atoms

```
data_WSe2BrN
_chemical_formula_sum 'W1 Se2 Br1 N1'
_space_group_name_H-M_alt 'P 4/m m m'
_space_group_IT_number 123
_space_group_name_Hall '-P 4 2'
_cell_length_a 5.209
_cell_length_b 5.209
_cell_length_c 3.595
_cell_angle_alpha 90.00
_cell_angle_beta 90.00
_cell_angle_gamma 90.00
loop_
_atom_site_label
_atom_site_type_symbol
_atom_site_fract_x
_atom_site_fract_y
_atom_site_fract_z
W1 W 0.000 0.000 0.000
Se1 Se 0.000 0.500 0.500
Br1 Br 0.500 0.500 0.500
N1 N 0.500 0.500 0.000
```

Entry 10:
First-principles (GGA-PBE) data for an optimized crystal structure of Y2Pd2Se, as listed in Alexandria.

Computed properties:
total magnetic moment	0.000	μB per cell
VASP energy	-6.44	eV/atom
formation energy from raw total energies	-1.0755	eV per atom
polymorph energy (0 for the lowest one)	0.0	kJ per mole of atoms

```
data_Y2Pd2Se
_chemical_formula_sum 'Y4 Pd4 Se2'
_space_group_name_H-M_alt 'C 1 2/m 1'
_space_group_IT_number 12
_space_group_name_Hall '-C 2y'
_cell_length_a 7.316
_cell_length_b 4.534
_cell_length_c 7.443
_cell_angle_alpha 90.00
_cell_angle_beta 110.15
_cell_angle_gamma 90.00
loop_
_atom_site_label
_atom_site_type_symbol
_atom_site_fract_x
_atom_site_fract_y
_atom_site_fract_z
Y1 Y 0.073 0.000 0.253
Pd1 Pd 0.159 0.500 0.961
Se1 Se 0.000 0.500 0.500
```

Entry 11:
First-principles (GGA-PBE) data for an optimized crystal structure of CaCdTc3, as listed in Alexandria.

Computed properties:
formation energy	2.364	eV per atom
total magnetic moment	3.244	μB per cell
VASP energy	-4.44	eV/atom
polymorph energy (0 for the lowest one)	34.8	kJ per mole of atoms

```
data_CaCdTc3
_chemical_formula_sum 'Ca1 Cd1 Tc3'
_space_group_name_H-M_alt 'P m -3 m'
_space_group_IT_number 221
_space_group_name_Hall '-P 4 2 3'
_cell_length_a 4.676
_cell_length_b 4.676
_cell_length_c 4.676
_cell_angle_alpha 90.00
_cell_angle_beta 90.00
_cell_angle_gamma 90.00
loop_
_atom_site_label
_atom_site_type_symbol
_atom_site_fract_x
_atom_site_fract_y
_atom_site_fract_z
Ca1 Ca 0.000 0.000 0.000
Cd1 Cd 0.500 0.500 0.500
Tc1 Tc 0.000 0.000 0.500
```

Entry 12:
First-principles (GGA-PBE) data for an optimized crystal structure of RbBeTeBr, as listed in Alexandria.

Computed properties:
total magnetic moment	0.000	μB per cell
VASP energy	-3.25	eV/atom
formation energy from raw total energies	-0.8708	eV per atom
polymorph energy (0 for the lowest one)	2.5	kJ per mole of atoms

```
data_RbBeTeBr
_chemical_formula_sum 'Rb3 Be3 Te3 Br3'
_space_group_name_H-M_alt 'R 3 m'
_space_group_IT_number 160
_space_group_name_Hall 'R 3 -2"'
_cell_length_a 4.1975
_cell_length_b 4.1975
_cell_length_c 24.3081
_cell_angle_alpha 90.00
_cell_angle_beta 90.00
_cell_angle_gamma 120.00
loop_
_atom_site_label
_atom_site_type_symbol
_atom_site_fract_x
_atom_site_fract_y
_atom_site_fract_z
Rb1 Rb 0.0000 0.0000 0.0000
Be1 Be 0.0000 0.0000 0.8500
Te1 Te 0.0000 0.0000 0.2174
Br1 Br 0.0000 0.0000 0.7595
```